# Bi2SeClF | Alexandria | PBE | optimized geometry
data_Bi2SeClF
_space_group_name_H-M_alt 'P 1'
_space_group_IT_number 1
_cell_length_a 5.7815
_cell_length_b 5.7815
_cell_length_c 4.1580
_cell_angle_alpha 90.00
_cell_angle_beta 90.00
_cell_angle_gamma 90.00
loop_
_space_group_symop_operation_xyz
'x,y,z'
loop_
_atom_site_label
_atom_site_type_symbol
_atom_site_fract_x
_atom_site_fract_y
_atom_site_fract_z
Bi1 Bi 0.0000 0.5000 0.0000
Bi2 Bi 0.5000 0.0000 0.0000
Se1 Se 0.0000 0.0000 0.0000
Cl1 Cl 0.5000 0.5000 0.5000
F1 F 0.0000 0.0000 0.5000
# E_form (uncorrected) in eV per atom: -0.16
# Energy in eV/atom: -3.15
# Calculated volume in Å³/cell: 139.0
# DOS at the Fermi energy in states/eV/atom: 0.831


# SiBi2ClF | Alexandria | PBE | optimized geometry
data_SiBi2ClF
_space_group_name_H-M_alt 'P 1'
_space_group_IT_number 1
_cell_length_a 5.4849
_cell_length_b 5.4849
_cell_length_c 4.7255
_cell_angle_alpha 90.00
_cell_angle_beta 90.00
_cell_angle_gamma 90.00
loop_
_space_group_symop_operation_xyz
'x,y,z'
loop_
_atom_site_label
_atom_site_type_symbol
_atom_site_fract_x
_atom_site_fract_y
_atom_site_fract_z
Si1 Si 0.0000 0.0000 0.0000
Bi1 Bi 0.0000 0.5000 0.0000
Bi2 Bi 0.5000 0.0000 0.0000
Cl1 Cl 0.0000 0.0000 0.5000
F1 F 0.5000 0.5000 0.5000
# E_form (uncorrected) in eV per atom: 0.07
# Energy in eV/atom: -3.31
# Calculated volume in Å³/cell: 142.2
# DOS at the Fermi energy in states/eV/atom: 0.901


# SrBiClF2 | Alexandria | PBE | optimized geometry
data_SrBiClF2
_space_group_name_H-M_alt 'P 1'
_space_group_IT_number 1
_cell_length_a 4.5594
_cell_length_b 4.5594
_cell_length_c 6.9387
_cell_angle_alpha 90.00
_cell_angle_beta 90.00
_cell_angle_gamma 90.00
loop_
_space_group_symop_operation_xyz
'x,y,z'
loop_
_atom_site_label
_atom_site_type_symbol
_atom_site_fract_x
_atom_site_fract_y
_atom_site_fract_z
Sr1 Sr 0.0000 0.0000 0.0000
Bi1 Bi 0.0000 0.0000 0.5000
Cl1 Cl 0.5000 0.5000 0.0000
F1 F 0.0000 0.5000 0.5000
F2 F 0.5000 0.0000 0.5000
# E_form (uncorrected) in eV per atom: -1.98
# Energy in eV/atom: -4.21
# Calculated volume in Å³/cell: 144.2
# DOS at the Fermi energy in states/eV/atom: 0.000


Question: What is the formula in the third record?
Answer: SrBiClF2


Question: Which of these has the highest DOS at the Fermi energy?
Answer: SiBi2ClF


Question: Which formula does entry 2 have?
Answer: SiBi2ClF